(1)
The following is a DFT calculation (PBEsol) of an optimized crystal structure of Pb2WSe.

a = 3.121 Å, b = 4.086 Å, c = 15.378 Å
α = 90.00°, β = 90.00°, γ = 90.00°
Space group Immm (No. 71)
Symmetry-distinct sites (fractional):
1 Pb 0.000 0.000 0.172
2 W 0.000 0.500 0.500
3 Se 0.000 0.500 0.000

Summary:
**Total DFT energy (no corrections)**: -47.014 eV per cell
**Formation energy (no corrections)**: 0.537 eV per atom

=====

(2)
The following is a DFT calculation (PBEsol) of an optimized crystal structure of KCdHg2.

a = 3.538 Å, b = 4.182 Å, c = 7.473 Å
α = 90.00°, β = 90.00°, γ = 90.00°
Space group Pmm2 (No. 25)
Symmetry-distinct sites (fractional):
1 K 0.000 0.000 0.000
2 Cd 0.500 0.500 0.311
3 Hg 0.000 0.000 0.495
4 Hg 0.500 0.500 0.720

Summary:
**Formation energy from the elements**: -102 meV/atom
**Total DFT energy (no corrections)**: -3.871 eV per cell

=====

(3)
The following is a DFT calculation (PBEsol) of an optimized crystal structure of K2YRh.

a = 4.640 Å, b = 4.640 Å, c = 5.636 Å
α = 90.00°, β = 90.00°, γ = 90.00°
Space group P4/mmm (No. 123)
Symmetry-distinct sites (fractional):
1 K 0.000 0.000 0.234
2 Y 0.500 0.500 0.500
3 Rh 0.500 0.500 0.000

Summary:
**Formation energy from the elements**: 807 meV/atom
**Total DFT energy (no corrections)**: -13.999 eV per cell
**Distance to the lowest polymorph of the same formula**: 0.7886 eV per atom

=====

(4)
The following is a DFT calculation (PBEsol) of an optimized crystal structure of Sr4CoSe.

a = 9.465 Å, b = 9.465 Å, c = 9.465 Å
α = 90.00°, β = 90.00°, γ = 90.00°
Space group F-43m (No. 216)
Symmetry-distinct sites (fractional):
1 Sr 0.125 0.125 0.125
2 Co 0.250 0.250 0.750
3 Se 0.000 0.000 0.500

Summary:
**Total DFT energy (no corrections)**: -58.574 eV per cell
**Formation energy (no corrections)**: 0.718 eV per atom

=====

(5)
The following is a DFT calculation (PBEsol) of an optimized crystal structure of ReHgW.

a = 2.821 Å, b = 4.040 Å, c = 8.547 Å
α = 90.00°, β = 90.00°, γ = 90.00°
Space group Imm2 (No. 44)
Symmetry-distinct sites (fractional):
1 Re 0.000 0.000 0.000
2 Hg 0.000 0.000 0.327
3 W 0.000 0.000 0.652

Summary:
**Formation energy from the elements**: 621 meV/atom
**Total DFT energy (no corrections)**: -51.689 eV per cell
**Distance to the lowest polymorph of the same formula**: 0.0000 eV per atom

=====

(6)
The following is a DFT calculation (PBEsol) of an optimized crystal structure of AlTcPtCl2.

a = 4.252 Å, b = 4.252 Å, c = 5.645 Å
α = 90.00°, β = 90.00°, γ = 90.00°
Space group P4/mmm (No. 123)
Symmetry-distinct sites (fractional):
1 Al 0.000 0.000 0.000
2 Tc 0.000 0.000 0.500
3 Pt 0.500 0.500 0.500
4 Cl 0.000 0.500 0.000

Summary:
**Total DFT energy (no corrections)**: -21.998 eV per cell
**Formation energy (no corrections)**: 0.868 eV per atom

=====

(7)
The following is a DFT calculation (PBEsol) of an optimized crystal structure of Li4FeW3O12.

a = 4.945 Å, b = 8.590 Å, c = 5.002 Å
α = 90.00°, β = 90.09°, γ = 90.00°
Space group P2 (No. 3)
Symmetry-distinct sites (fractional):
1 Li 0.000 0.000 0.000
2 Li 0.000 0.369 0.500
3 Li 0.500 0.499 0.500
4 Li 0.500 0.873 0.000
5 Fe 0.500 0.108 0.500
6 W 0.000 0.589 0.000
7 W 0.000 0.813 0.500
8 W 0.500 0.264 0.000
9 O 0.201 0.627 0.684
10 O 0.203 0.775 0.180
11 O 0.243 0.947 0.652
12 O 0.244 0.451 0.145
13 O 0.273 0.124 0.161
14 O 0.310 0.301 0.683

Summary:
**Total DFT energy (no corrections)**: -162.213 eV per cell
**Formation energy (no corrections)**: -2.048 eV per atom

=====

(8)
The following is a DFT calculation (PBEsol) of an optimized crystal structure of KYAs2Se.

a = 5.076 Å, b = 5.076 Å, c = 5.311 Å
α = 90.00°, β = 90.00°, γ = 90.00°
Space group P4/mmm (No. 123)
Symmetry-distinct sites (fractional):
1 K 0.000 0.000 0.000
2 Y 0.500 0.500 0.500
3 As 0.000 0.500 0.000
4 Se 0.000 0.000 0.500

Summary:
**Total DFT energy (no corrections)**: -18.747 eV per cell
**Formation energy (no corrections)**: 0.654 eV per atom

=====

(9)
The following is a DFT calculation (PBEsol) of an optimized crystal structure of FePdBr2.

a = 3.6019 Å, b = 3.6019 Å, c = 23.6604 Å
α = 90.00°, β = 90.00°, γ = 120.00°
Space group R-3m (No. 166, hexagonal axes)
Symmetry-distinct sites (fractional):
1 Fe 0.0000 0.0000 0.0000
2 Pd 0.0000 0.0000 0.5000
3 Br 0.0000 0.0000 0.0958

Summary:
**Total DFT energy (no corrections)**: -51.194 eV per cell
**Formation energy (no corrections)**: 0.399 eV per atom

=====

(10)
The following is a DFT calculation (PBEsol) of an optimized crystal structure of TlF.

a = 3.667 Å, b = 3.667 Å, c = 6.080 Å
α = 90.00°, β = 90.00°, γ = 90.00°
Space group P4/nmm (No. 129, origin choice 2)
Symmetry-distinct sites (fractional):
1 Tl 0.250 0.250 0.240
2 F 0.250 0.250 0.641

Summary:
**Total DFT energy (no corrections)**: -15.819 eV per cell
**Formation energy (no corrections)**: -1.676 eV per atom
**Distance to the lowest polymorph of the same formula**: 0.0015 eV per atom

=====

(11)
The following is a DFT calculation (PBEsol) of an optimized crystal structure of CaTiZnCl2.

a = 4.660 Å, b = 4.660 Å, c = 5.211 Å
α = 90.00°, β = 90.00°, γ = 90.00°
Space group P4/mmm (No. 123)
Symmetry-distinct sites (fractional):
1 Ca 0.000 0.000 0.000
2 Ti 0.500 0.500 0.500
3 Zn 0.500 0.500 0.000
4 Cl 0.000 0.500 0.500

Summary:
**Total DFT energy (no corrections)**: -19.297 eV per cell
**Formation energy (no corrections)**: -0.649 eV per atom

=====

(12)
The following is a DFT calculation (PBEsol) of an optimized crystal structure of Nb8PtSe20.

a = 20.221 Å, b = 3.396 Å, c = 19.167 Å
α = 90.00°, β = 106.48°, γ = 90.00°
Space group C2/m (No. 12)
Symmetry-distinct sites (fractional):
1 Nb 0.078 0.000 0.412
2 Nb 0.151 0.000 0.944
3 Nb 0.170 0.500 0.312
4 Nb 0.233 0.500 0.780
5 Pt 0.000 0.500 0.500
6 Se 0.023 0.500 0.633
7 Se 0.050 0.500 0.887
8 Se 0.070 0.000 0.273
9 Se 0.095 0.500 0.017
10 Se 0.124 0.500 0.517
11 Se 0.140 0.000 0.801
12 Se 0.166 0.500 0.175
13 Se 0.199 0.000 0.673
14 Se 0.207 0.000 0.417
15 Se 0.246 0.500 0.927

Summary:
**Total DFT energy (no corrections)**: -386.636 eV per cell
**Formation energy (no corrections)**: -0.785 eV per atom